This record from Alexandria describes a relaxed Ca2PmPb9 crystal. The functional is PBE.

```
Ca2PmPb9
1.0
-4.513 -1.856 0.645
1.310 -1.639 4.452
-4.412 12.821 6.019
Ca Pm Pb
2 1 9
Cartesian
-1.466 4.261 2.000
-2.946 8.561 4.019
0.000 0.000 0.000
-1.601 -1.748 2.549
-3.075 2.533 4.558
-4.540 6.793 6.558
-2.997 1.223 1.332
-4.463 5.483 3.332
-5.929 9.743 5.332
-0.085 1.331 3.236
-1.551 5.591 5.236
-3.017 9.851 7.236
```

Results
**SG**: No. 123
**Energy relative to the elements**: -339 meV per atom
**Magnetic moment**: 0.000 Bohr magnetons per cell

This record from Alexandria describes a relaxed Tb5Ho3Tm4 crystal. The functional is PBE.

```
Tb5Ho3Tm4
1.0
5.803 0.000 0.000
2.901 7.501 -2.763
2.901 -0.783 9.019
Tb Ho Tm
5 3 4
Cartesian
8.704 6.501 4.584
5.803 3.359 3.128
2.901 3.373 -0.247
8.704 3.346 6.503
2.901 0.217 1.672
5.803 4.948 0.542
2.901 3.359 3.128
5.803 1.771 5.714
5.803 1.614 -0.059
2.901 -0.111 5.477
8.704 6.830 0.779
5.803 5.105 6.315
```

Results
**Relative energy among the computed polymorphs**: 228 meV/atom
**SG**: No. 12
**Energy relative to the elements**: 248 meV per atom
**Magnetic moment**: 0.390 Bohr magnetons per cell

This record from Alexandria describes a relaxed RbCuW crystal. The functional is PBE.

```
RbCuW
1.0
-3.803 -1.013 2.593
0.810 -0.678 3.496
0.282 11.652 4.010
W Cu Rb
2 2 2
Cartesian
0.313 10.665 4.048
0.081 8.798 5.647
-1.284 8.866 7.884
-2.293 7.479 5.941
-1.843 0.689 4.626
-0.724 5.778 3.346
```

Results
**Relative energy among the computed polymorphs**: 107 meV/atom
**SG**: No. 1
**Energy relative to the elements**: 800 meV per atom
**Magnetic moment**: 0.000 Bohr magnetons per cell

This record from Alexandria describes a relaxed RhPbSe2 crystal. The functional is PBE.

```
RhPbSe2
1.0
-0.423 -0.331 -4.354
-5.018 -2.921 0.710
-3.287 2.819 0.106
Pb Rh Se
1 1 2
Cartesian
-3.999 0.358 0.362
-3.004 2.059 -2.074
-7.111 0.115 0.683
-2.055 -0.197 -1.995
```

Results
**SG**: No. 6
**Formation energy without anion corrections**: -0.2206 eV per atom
**Magnetic moment**: 0.000 Bohr magnetons per cell

This record from Alexandria describes a relaxed NbTlPt2 crystal. The functional is PBE.

```
NbTlPt2
1.0
-6.866 -2.668 -1.279
2.959 -6.216 -2.917
-1.962 -5.666 0.501
Tl Nb Pt
2 2 4
Cartesian
0.000 0.000 0.000
-5.391 -6.388 -1.438
-1.953 -4.442 -2.098
-0.478 -8.162 -2.257
-4.233 -3.791 -1.005
0.322 -5.704 -1.891
-2.859 -7.743 -1.274
-4.967 -11.861 -3.220
```

Results
**SG**: No. 122
**Energy relative to the elements**: 110 meV per atom
**Magnetic moment**: 0.000 Bohr magnetons per cell

This record from Alexandria describes a relaxed Tb3Tl3Ag crystal. The functional is PBE.

```
Tb3Tl3Ag
1.0
4.586 0.000 0.691
2.255 5.700 0.598
0.139 0.188 14.649
Tb Tl Ag
6 6 2
Cartesian
3.244 1.906 9.601
3.736 3.982 6.336
1.796 1.356 3.645
5.184 4.532 12.292
2.586 1.756 13.968
4.394 4.132 1.969
5.680 4.277 8.995
1.299 1.611 6.942
2.562 4.876 14.129
4.418 1.012 1.808
6.355 4.501 4.517
0.625 1.387 11.420
3.768 0.618 6.121
3.212 5.270 9.816
```

Results
**SG**: No. 12
**Energy relative to the elements**: -282 meV per atom
**Magnetic moment**: 0.000 Bohr magnetons per cell

Please write out number 2 again, unchanged.
This record from Alexandria describes a relaxed Tb5Ho3Tm4 crystal. The functional is PBE.

```
Tb5Ho3Tm4
1.0
5.803 0.000 0.000
2.901 7.501 -2.763
2.901 -0.783 9.019
Tb Ho Tm
5 3 4
Cartesian
8.704 6.501 4.584
5.803 3.359 3.128
2.901 3.373 -0.247
8.704 3.346 6.503
2.901 0.217 1.672
5.803 4.948 0.542
2.901 3.359 3.128
5.803 1.771 5.714
5.803 1.614 -0.059
2.901 -0.111 5.477
8.704 6.830 0.779
5.803 5.105 6.315
```

Results
**Relative energy among the computed polymorphs**: 228 meV/atom
**SG**: No. 12
**Energy relative to the elements**: 248 meV per atom
**Magnetic moment**: 0.390 Bohr magnetons per cell

Q: What is the magnetic moment in the first record?
A: 0.000 Bohr magnetons per cell